Density functional theory data (GGA-PBE) for a relaxed ReBrCl5 crystal.

Cell: 8.0238 7.2051 7.2051 Å, 55.58 56.16 56.16°
Site moments in Bohr magnetons follow the coordinates.
Fractional positions:
Re 0.5000 0.4427 0.5573  0.99
Br 0.0000 0.8128 0.1872  -0.24
Cl 0.7300 0.2538 0.2862  0.04
Cl 0.5000 0.7791 0.2209  -0.01
Cl 0.2700 0.7138 0.7462  0.04
Cl 0.7304 0.2643 0.7357  0.03
Cl 0.2696 0.2643 0.7357  0.03

Results
- Raw total energy: -3.674 eV per atom
- V: 38.1 Å³/atom
- E_form (uncorrected): -32.6 kJ/mol of atoms

***

Density functional theory data (GGA-PBE) for a relaxed Cd5Pt crystal.

Cell: 4.3652 6.8389 4.2479 Å, 90.00 90.00 71.39°
Fractional positions:
Cd 0.1887 0.6225 0.5000
Cd 0.3673 0.2654 0.0000
Cd 0.5278 0.9445 0.5000
Cd 0.6882 0.6235 0.0000
Cd 0.8668 0.2664 0.5000
Pt 0.0278 0.9444 0.0000

Results
- Raw total energy: -1.878 eV per atom
- V: 20.0 Å³/atom
- Energy of formation: -109 meV/atom

***

Density functional theory data (GGA-PBE) for a relaxed NaLi3Cr crystal.

Cell: 5.2127 5.2127 5.2127 Å, 90.00 90.00 90.00°
Site moments in Bohr magnetons follow the coordinates.
Fractional positions:
Cr 0.0000 0.0000 0.0000  4.16
Li 0.0000 0.5000 0.0000  0.02
Li 0.0000 0.0000 0.5000  0.01
Li 0.5000 0.0000 0.0000  0.03
Na 0.5000 0.5000 0.5000  -0.01

Results
- Raw total energy: -2.744 eV per atom
- V: 28.3 Å³/atom
- Energy of formation: 593 meV/atom

***

Density functional theory data (GGA-PBE) for a relaxed YMn2Nb2 crystal.

Cell: 4.2642 4.2642 5.8578 Å, 68.66 68.66 90.00°
Fractional positions:
Y 0.0000 0.0000 0.0000
Nb 0.7500 0.2500 0.5000
Nb 0.2500 0.7500 0.5000
Mn 0.3888 0.3888 0.2224
Mn 0.6112 0.6112 0.7776

Results
- Raw total energy: -8.880 eV per atom
- V: 18.3 Å³/atom
- Energy of formation: 109 meV/atom

***

Density functional theory data (GGA-PBE) for a relaxed Ca2HgP3Pt12 crystal.

Cell: 7.5969 7.5969 7.5969 Å, 66.49 66.49 66.49°
Fractional positions:
Ca 0.6005 0.6005 0.6005
Ca 0.3995 0.3995 0.3995
Hg 0.0000 0.0000 0.0000
P 0.5000 0.0000 0.0000
P 0.0000 0.5000 0.0000
P 0.0000 0.0000 0.5000
Pt 0.3410 0.3410 0.8994
Pt 0.8626 0.8626 0.3913
Pt 0.3913 0.8626 0.8626
Pt 0.8994 0.3410 0.3410
Pt 0.8626 0.3913 0.8626
Pt 0.3410 0.8994 0.3410
Pt 0.6590 0.6590 0.1006
Pt 0.1374 0.1374 0.6087
Pt 0.6087 0.1374 0.1374
Pt 0.1006 0.6590 0.6590
Pt 0.1374 0.6087 0.1374
Pt 0.6590 0.1006 0.6590

Results
- Raw total energy: -5.445 eV per atom
- V: 19.6 Å³/atom
- Energy of formation: -277 meV/atom

***

Density functional theory data (GGA-PBE) for a relaxed CaHg2Rh crystal.

Cell: 4.3014 4.3014 10.6295 Å, 78.33 78.33 90.00°
Fractional positions:
Ca 0.5000 0.5000 0.0000
Ca 0.2500 0.7500 0.5000
Rh 0.0000 0.0000 0.0000
Rh 0.7500 0.2500 0.5000
Hg 0.6589 0.1250 0.2500
Hg 0.0911 0.6250 0.2500
Hg 0.3750 0.3411 0.7500
Hg 0.8750 0.9089 0.7500

Results
- Raw total energy: -2.543 eV per atom
- V: 23.6 Å³/atom
- Energy of formation: -54 meV/atom